(1)
VASP calculation (GGA-PBE) on an optimized crystal structure of Sc3Ru.

```
Sc3Ru
1.0
-1.394 4.179 -1.154
-4.790 -1.214 1.393
1.271 2.149 6.244
Sc Ru
6 2
direct
0.000 0.804 0.742 Sc
0.000 0.804 0.258 Sc
0.500 0.196 0.758 Sc
0.000 0.347 0.500 Sc
0.500 0.196 0.242 Sc
0.500 0.653 0.000 Sc
0.500 0.731 0.500 Ru
0.000 0.269 0.000 Ru
```

Calculated values
calculated volume	19.7	Å³ per atom
total magnetization	0.00	μB/cell
E_form	-216	meV per atom

***

(2)
VASP calculation (GGA-PBE) on an optimized crystal structure of ScRu.

```
ScRu
1.0
3.210 0.000 0.000
0.000 3.210 0.000
0.000 0.000 3.210
Ru Sc
1 1
direct
0.500 0.500 0.500 Ru
0.000 0.000 0.000 Sc
```

Calculated values
calculated volume	16.5	Å³ per atom
total magnetization	0.00	μB/cell
E_form	-542	meV per atom

***

(3)
VASP calculation (GGA-PBE) on an optimized crystal structure of ScRu.

```
ScRu
1.0
10.144 0.000 0.000
0.000 10.144 0.000
0.000 0.000 2.935
Ru Sc
8 8
direct
0.070 0.376 0.000 Ru
0.853 0.414 0.500 Ru
0.624 0.070 0.000 Ru
0.930 0.624 0.000 Ru
0.414 0.147 0.500 Ru
0.376 0.930 0.000 Ru
0.586 0.853 0.500 Ru
0.147 0.586 0.500 Ru
0.137 0.821 0.000 Sc
0.381 0.688 0.500 Sc
0.312 0.381 0.500 Sc
0.688 0.619 0.500 Sc
0.821 0.863 0.000 Sc
0.619 0.312 0.500 Sc
0.863 0.179 0.000 Sc
0.179 0.137 0.000 Sc
```

Calculated values
calculated volume	18.9	Å³ per atom
total magnetization	0.00	μB/cell
E_form	30	meV per atom

***

(4)
VASP calculation (GGA-PBE) on an optimized crystal structure of ScRu.

```
ScRu
1.0
5.509 0.009 0.020
0.928 3.069 0.000
-1.741 0.527 3.977
Ru Sc
2 2
direct
0.020 0.990 0.926 Ru
0.480 0.260 0.157 Ru
0.978 0.511 0.405 Sc
0.522 0.739 0.678 Sc
```

Calculated values
calculated volume	16.8	Å³ per atom
total magnetization	0.00	μB/cell
E_form	-457	meV per atom

***

(5)
VASP calculation (GGA-PBE) on an optimized crystal structure of ScRu.

```
ScRu
1.0
2.327 -4.031 0.000
2.327 4.031 0.000
0.000 0.000 7.556
Sc Ru
4 4
direct
0.333 0.667 0.750 Sc
0.000 0.000 0.250 Sc
0.000 0.000 0.750 Sc
0.667 0.333 0.250 Sc
0.667 0.333 0.919 Ru
0.333 0.667 0.081 Ru
0.667 0.333 0.581 Ru
0.333 0.667 0.419 Ru
```

Calculated values
calculated volume	17.7	Å³ per atom
total magnetization	0.00	μB/cell
E_form	178	meV per atom

***

(6)
VASP calculation (GGA-PBE) on an optimized crystal structure of ScRu.

```
ScRu
1.0
4.989 0.000 0.000
0.000 13.699 0.000
0.000 0.000 8.625
Ru Sc
16 16
direct
0.750 0.339 0.250 Ru
0.500 0.911 0.500 Ru
0.000 0.089 0.000 Ru
0.500 0.089 0.500 Ru
0.500 0.411 0.000 Ru
0.000 0.589 0.500 Ru
0.500 0.589 0.000 Ru
0.750 0.161 0.250 Ru
0.250 0.661 0.250 Ru
0.750 0.661 0.750 Ru
0.250 0.161 0.750 Ru
0.750 0.839 0.750 Ru
0.250 0.839 0.250 Ru
0.250 0.339 0.750 Ru
0.000 0.911 0.000 Ru
0.000 0.411 0.500 Ru
0.000 0.000 0.335 Sc
0.250 0.250 0.085 Sc
0.250 0.750 0.915 Sc
0.750 0.750 0.415 Sc
0.750 0.250 0.585 Sc
0.750 0.250 0.915 Sc
0.750 0.750 0.085 Sc
0.000 0.500 0.165 Sc
0.500 0.000 0.835 Sc
0.000 0.500 0.835 Sc
0.500 0.500 0.335 Sc
0.500 0.000 0.165 Sc
0.250 0.250 0.415 Sc
0.500 0.500 0.665 Sc
0.000 0.000 0.665 Sc
0.250 0.750 0.585 Sc
```

Calculated values
calculated volume	18.4	Å³ per atom
total magnetization	0.02	μB/cell
E_form	-59	meV per atom